(w)
Below is an optimized crystal structure of AgMoSe4, with properties calculated at the PBE level.

The structure belongs to space group P-1 (No. 2); the cell edges are 6.4630, 7.2457 and 7.4940 Å and the angles 102.24°, 109.82° and 113.32°. Symmetry generates all atoms from Ag at (0.0997, 0.2692, 0.4021), Mo at (0.2826, 0.5019, 0.0001), Se at (0.1452, 0.8077, 0.0255), Se at (0.1764, 0.6344, 0.2992), Se at (0.2497, 0.1763, 0.7374) and Se at (0.4770, 0.6421, 0.7745).

---

(x)
Below is an optimized crystal structure of AgMoSe4, with properties calculated at the PBE level.

The structure belongs to space group F-43m (No. 216); the cell edges are 8.0636, 8.0636 and 8.0636 Å and the angles 90.00°, 90.00° and 90.00°. Symmetry generates all atoms from Ag at (0.0000, 0.0000, 0.0000), Mo at (0.2500, 0.2500, 0.7500) and Se at (0.1248, 0.1248, 0.3752).

---

The structure with the greatest stability is (w).